No. 1
Density functional theory data (PBE-GGA) for CaTaPb2 after structural relaxation.

The density of states at the Fermi level comes out at 0.770 states/eV per atom. The calculation puts the calculated volume at 24.7 Å³ per atom. The value obtained for the raw total energy is -19.9 eV/cell.

a b c (Å): 5.556 5.556 3.305
angles (deg): 90.00 90.00 104.55
Element x y z (fractional)
Pb 0.000 0.000 0.000
Pb 0.500 0.500 0.000
Ca 0.000 0.500 0.500
Ta 0.500 0.000 0.500

---

No. 2
Density functional theory data (PBE-GGA) for Ho4ZnRh3 after structural relaxation.

The density of states at the Fermi level comes out at 0.852 states/eV per atom. The calculation puts the calculated volume at 20.5 Å³ per atom. The value obtained for the raw total energy is -47.8 eV/cell.

a b c (Å): 3.451 3.451 13.752
angles (deg): 90.00 90.00 90.00
Element x y z (fractional)
Zn 0.500 0.500 0.000
Rh 0.500 0.500 0.253
Rh 0.500 0.500 0.500
Rh 0.500 0.500 0.747
Ho 0.000 0.000 0.865
Ho 0.000 0.000 0.135
Ho 0.000 0.000 0.377
Ho 0.000 0.000 0.623

---

No. 3
Density functional theory data (PBE-GGA) for MnTl2Fe after structural relaxation.

The density of states at the Fermi level comes out at 1.274 states/eV per atom. The calculation puts the calculated volume at 20.5 Å³ per atom. The value obtained for the raw total energy is -20.0 eV/cell. The excess energy over the best structure of this formula in the dataset is 104 meV per atom.

a b c (Å): 9.480 9.480 9.480
angles (deg): 19.39 19.39 19.39
Element x y z (fractional)
Fe 0.491 0.491 0.491
Mn 0.761 0.761 0.761
Tl 0.010 0.010 0.010
Tl 0.238 0.238 0.238

---

No. 4
Density functional theory data (PBE-GGA) for AlNiRu4 after structural relaxation.

The density of states at the Fermi level comes out at 1.649 states/eV per atom. The calculation puts the calculated volume at 15.1 Å³ per atom. The value obtained for the raw total energy is -43.8 eV/cell.

a b c (Å): 5.038 5.038 5.038
angles (deg): 60.00 60.00 60.00
Element x y z (fractional)
Al 0.250 0.250 0.250
Ni 0.000 0.000 0.000
Ru 0.625 0.625 0.124
Ru 0.625 0.124 0.625
Ru 0.625 0.625 0.625
Ru 0.124 0.625 0.625

---

Energy relative to the elements, respectively: 0.33; -0.77; 0.58; 0.47 eV/atom.